A geometry-optimized SiNiNO2 structure, computed with PBE+U.

* size of the total moment: 1.1 μB/f.u.
* mass density: 4.9 g cm⁻³
* crystal system: tetragonal
* calculated volume: 45.23 Å³ per cell
* calculated total energy: -5.8761 eV per atom
* DOS at the Fermi energy: 0.39 states/eV per atom

Cell: 3.4742 3.4742 3.7473 Å, 90.00 90.00 90.00°
Last column: nearest neighbours and their distance in Å.
Space group P4/mmm (No. 123)
Symmetry-distinct sites (fractional):
Si: 0.0000 0.0000 0.0000  4 O 1.74, 2 N 1.87
Ni: 0.5000 0.5000 0.5000  4 N 2.46, 8 O 2.56
N: 0.0000 0.0000 0.5000  2 Si 1.87
O: 0.0000 0.5000 0.0000  2 Si 1.74